# 1
## MnAlIn3 (PBE)

Data for a relaxed MnAlIn3 crystal.

Space-group type: Pm-3m
Formation energy: 69 kJ/mol of atoms
ρ: 4.78 Mg/m³
DOS at the Fermi energy: 3.45 states/eV/f.u.
Relative energy among the computed polymorphs: 271 meV per atom

a b c (Å): 5.292 5.292 5.292
angles (deg): 90.00 90.00 90.00
Last column: magnetic moment on the atom in μB.
Sites, in units of the cell vectors:
Al (0.000, 0.000, 0.000)  -0.01
In (0.000, 0.000, 0.500)  0.00
In (0.500, 0.000, 0.000)  0.02
Mn (0.500, 0.500, 0.500)  -4.36
In (0.000, 0.500, 0.000)  0.02



# 2
## Ga2PbN (PBE)

Data for a relaxed Ga2PbN crystal.

Space-group type: I-42d
ρ: 7.41 Mg/m³
DOS at the Fermi energy: 1.24 states/eV/f.u.
Relative energy among the computed polymorphs: 0 meV per atom
ΔE_f (raw): 0.199 eV/atom

a b c (Å): 5.638 5.638 6.459
angles (deg): 64.13 64.13 90.00
Sites, in units of the cell vectors:
Ga (0.875, 0.759, 0.750)
Ga (0.241, 0.625, 0.250)
N (0.500, 0.500, 0.000)
Pb (0.000, 0.000, 0.000)
Ga (0.375, 0.491, 0.750)
Pb (0.750, 0.250, 0.500)
N (0.250, 0.750, 0.500)
Ga (0.509, 0.125, 0.250)



# 3
## CrSiTePd2 (PBE)

Data for a relaxed CrSiTePd2 crystal.

Space-group type: P4/mmm
ρ: 6.30 Mg/m³
DOS at the Fermi energy: 2.36 states/eV/f.u.
ΔE_f (raw): 0.385 eV/atom

a b c (Å): 4.485 5.508 4.485
angles (deg): 90.00 90.00 90.00
Last column: magnetic moment on the atom in μB.
Sites, in units of the cell vectors:
Si (0.000, 0.000, 0.000)  0.03
Pd (0.000, 0.000, 0.500)  0.01
Cr (0.500, 0.500, 0.500)  -3.99
Pd (0.500, 0.000, 0.000)  0.05
Te (0.000, 0.500, 0.000)  0.15



# 4
## Pr3NdSm6 (PBE)

Data for a relaxed Pr3NdSm6 crystal.

Space-group type: Cmc2_1
Formation energy: 13 kJ/mol of atoms
ρ: 7.01 Mg/m³
DOS at the Fermi energy: 13.70 states/eV/f.u.
Relative energy among the computed polymorphs: 0 meV per atom

a b c (Å): 6.484 11.167 11.167
angles (deg): 120.53 90.00 90.00
Sites, in units of the cell vectors:
Sm (0.148, 0.723, 0.277)
Sm (0.555, 0.288, 0.372)
Nd (0.112, 0.190, 0.810)
Sm (0.555, 0.628, 0.712)
Pr (0.082, 0.385, 0.615)
Sm (0.875, 0.472, 0.056)
Pr (0.463, 0.940, 0.707)
Pr (0.963, 0.060, 0.293)
Sm (0.375, 0.056, 0.472)
Pr (0.463, 0.293, 0.060)
Pr (0.963, 0.707, 0.940)
Sm (0.859, 0.035, 0.965)
Nd (0.612, 0.810, 0.190)
Sm (0.055, 0.372, 0.288)
Sm (0.055, 0.712, 0.628)
Pr (0.582, 0.615, 0.385)
Sm (0.648, 0.277, 0.723)
Sm (0.375, 0.528, 0.944)
Sm (0.875, 0.944, 0.528)
Sm (0.359, 0.965, 0.035)



# 5
## SmTh2Pt (PBE)

Data for a relaxed SmTh2Pt crystal.

Space-group type: R3m
Formation energy: -40 kJ/mol of atoms
ρ: 10.86 Mg/m³
DOS at the Fermi energy: 6.60 states/eV/f.u.
Relative energy among the computed polymorphs: 184 meV per atom

a b c (Å): 3.879 3.879 9.763
angles (deg): 78.54 78.54 60.00
Sites, in units of the cell vectors:
Sm (0.499, 0.499, 0.504)
Th (0.268, 0.268, 0.197)
Pt (0.667, 0.667, 0.998)
Th (0.067, 0.067, 0.800)



# 6
## Nd2HoTl (PBE)

Data for a relaxed Nd2HoTl crystal.

Space-group type: P4/mmm
Formation energy: -14 kJ/mol of atoms
ρ: 8.56 Mg/m³
DOS at the Fermi energy: 5.60 states/eV/f.u.
Relative energy among the computed polymorphs: 49 meV per atom

a b c (Å): 3.668 3.668 9.485
angles (deg): 90.00 90.00 90.00
Sites, in units of the cell vectors:
Nd (0.000, 0.000, 0.232)
Ho (0.500, 0.500, 0.500)
Nd (0.000, 0.000, 0.768)
Tl (0.500, 0.500, 0.000)



# 7
## CaNd2DyTl4 (PBE)

Data for a relaxed CaNd2DyTl4 crystal.

Space-group type: R-3m
Formation energy: -37 kJ/mol of atoms
ρ: 9.34 Mg/m³
DOS at the Fermi energy: 5.29 states/eV/f.u.

a b c (Å): 5.470 5.470 9.516
angles (deg): 73.30 73.30 60.00
Sites, in units of the cell vectors:
Dy (0.500, 0.500, 0.500)
Tl (0.873, 0.873, 0.382)
Ca (0.000, 0.000, 0.000)
Tl (0.378, 0.378, 0.866)
Tl (0.622, 0.622, 0.134)
Nd (0.254, 0.254, 0.239)
Nd (0.746, 0.746, 0.761)
Tl (0.127, 0.127, 0.618)



# 8
## PmSm3Dy3 (PBE)

Data for a relaxed PmSm3Dy3 crystal.

Space-group type: P6_3/m
Formation energy: 2 kJ/mol of atoms
ρ: 7.75 Mg/m³
DOS at the Fermi energy: 12.58 states/eV/f.u.
Relative energy among the computed polymorphs: 0 meV per atom

a b c (Å): 5.763 9.646 9.646
angles (deg): 120.00 90.00 90.00
Sites, in units of the cell vectors:
Dy (0.750, 0.047, 0.812)
Sm (0.750, 0.476, 0.096)
Pm (0.750, 0.333, 0.667)
Dy (0.750, 0.188, 0.235)
Sm (0.250, 0.524, 0.904)
Dy (0.750, 0.765, 0.953)
Dy (0.250, 0.812, 0.765)
Dy (0.250, 0.953, 0.188)
Pm (0.250, 0.667, 0.333)
Sm (0.250, 0.380, 0.476)
Sm (0.750, 0.620, 0.524)
Dy (0.250, 0.235, 0.047)
Sm (0.250, 0.096, 0.620)
Sm (0.750, 0.904, 0.380)



# 9
## BaCeInHg (PBE)

Data for a relaxed BaCeInHg crystal.

Space-group type: F-43m
Formation energy: -26 kJ/mol of atoms
ρ: 7.35 Mg/m³
DOS at the Fermi energy: 11.22 states/eV/f.u.

a b c (Å): 5.743 5.743 5.743
angles (deg): 60.00 60.00 60.00
Last column: magnetic moment on the atom in μB.
Sites, in units of the cell vectors:
In (0.250, 0.250, 0.250)  0.00
Ba (0.500, 0.500, 0.500)  0.01
Hg (0.750, 0.750, 0.750)  0.01
Ce (0.000, 0.000, 0.000)  1.03



# 10
## In2Ag2GeS6 (PBE)

Data for a relaxed In2Ag2GeS6 crystal.

Space-group type: Cc
ρ: 4.41 Mg/m³
Relative energy among the computed polymorphs: 0 meV per atom
ΔE_f (raw): -0.391 eV/atom

a b c (Å): 7.227 7.227 12.418
angles (deg): 73.35 73.35 60.92
Sites, in units of the cell vectors:
Ag (0.614, 0.191, 0.909)
Ge (0.600, 0.063, 0.501)
S (0.157, 0.647, 0.812)
S (0.352, 0.834, 0.240)
In (0.827, 0.696, 0.757)
S (0.365, 0.404, 0.074)
In (0.681, 0.490, 0.559)
Ag (0.011, 0.195, 0.256)
In (0.696, 0.827, 0.257)
S (0.915, 0.891, 0.559)
S (0.485, 0.936, 0.871)
S (0.834, 0.352, 0.740)
Ag (0.195, 0.011, 0.756)
S (0.882, 0.404, 0.054)
S (0.404, 0.365, 0.574)
S (0.647, 0.157, 0.312)
Ag (0.191, 0.614, 0.409)
In (0.490, 0.681, 0.059)
S (0.891, 0.915, 0.059)
S (0.936, 0.485, 0.371)
Ge (0.063, 0.600, 0.001)
S (0.404, 0.882, 0.554)



# 11
## Ac5IrRu (PBE)

Data for a relaxed Ac5IrRu crystal.

Space-group type: C2/c
Formation energy: -19 kJ/mol of atoms
ρ: 8.78 Mg/m³
DOS at the Fermi energy: 6.56 states/eV/f.u.

a b c (Å): 7.243 7.243 11.187
angles (deg): 105.64 105.64 79.39
Sites, in units of the cell vectors:
Ir (0.928, 0.572, 0.250)
Ac (0.865, 0.273, 0.492)
Ac (0.224, 0.068, 0.850)
Ac (0.773, 0.365, 0.992)
Ac (0.227, 0.635, 0.008)
Ac (0.135, 0.727, 0.508)
Ru (0.000, 0.000, 0.000)
Ac (0.251, 0.249, 0.250)
Ac (0.568, 0.724, 0.350)
Ru (0.500, 0.500, 0.500)
Ac (0.432, 0.276, 0.650)
Ac (0.749, 0.751, 0.750)
Ac (0.776, 0.932, 0.150)
Ir (0.072, 0.428, 0.750)



# 12
## MgWAu3 (PBE)

Data for a relaxed MgWAu3 crystal.

Space-group type: Pm-3m
Formation energy: 91 kJ/mol of atoms
ρ: 10.19 Mg/m³
DOS at the Fermi energy: 3.63 states/eV/f.u.
Relative energy among the computed polymorphs: 0 meV per atom

a b c (Å): 5.069 5.069 5.069
angles (deg): 90.00 90.00 90.00
Sites, in units of the cell vectors:
Au (0.500, 0.000, 0.000)
Au (0.000, 0.000, 0.500)
Mg (0.500, 0.500, 0.500)
W (0.000, 0.000, 0.000)
Au (0.000, 0.500, 0.000)